A crystal of SrB2O4 relaxed with PBEsol, computed with SCAN.

## Properties
**Uncorrected energy**: -11.825 eV per atom
**Distance to the lowest polymorph of the same formula**: 0.00 eV per formula unit
**DOS(E_F)**: 0.0 states/eV/f.u.
**Formation energy from raw total energies**: -2.9591 eV per atom

a b c (Å): 9.218 9.218 9.218
angles (deg): 90.00 90.00 90.00
Space group Pa-3 (No. 205)
Asymmetric unit:
Sr 0.000 0.000 0.000 [4 per cell]
Sr 0.129 0.629 0.871 [8 per cell]
B 0.114 0.188 0.339 [24 per cell]
O 0.003 0.593 0.219 [24 per cell]
O 0.116 0.174 0.759 [24 per cell]